1.
An optimized crystal structure of Zn2SbOs, computed with PBE.

Calculated values
**Formation energy without anion corrections**: 221 meV per atom

Lattice parameters (Å, degrees): 3.2295 4.0797 5.4389 90.00 107.17 90.00
Space group Pm (No. 6)
Inequivalent atoms, fractional coordinates:
Zn 0.0000 0.0000 0.0000
Zn 0.4363 0.5000 0.8726
Sb 0.7458 0.0000 0.4915
Os 0.1546 0.5000 0.3087

---

2.
An optimized crystal structure of K2BaInBi2, computed with PBE.

Calculated values
**Formation energy**: -0.52 eV/atom

Lattice parameters (Å, degrees): 5.6878 9.9066 8.5966 90.00 90.00 90.00
Space group Pmc2_1 (No. 26)
Inequivalent atoms, fractional coordinates:
K 0.0000 0.0803 0.0000
K 0.5000 0.1531 0.3233
Ba 0.5000 0.4678 0.0030
In 0.0000 0.3107 0.6542
Bi 0.0000 0.3796 0.2802
Bi 0.5000 0.1981 0.7268

---

3.
An optimized crystal structure of SmBeCu3, computed with PBE.

Calculated values
**Formation energy**: -0.02 eV/atom

Lattice parameters (Å, degrees): 4.2899 4.2899 4.2899 90.00 90.00 90.00
Space group Pm-3m (No. 221)
Inequivalent atoms, fractional coordinates:
Sm 0.0000 0.0000 0.0000
Be 0.5000 0.5000 0.5000
Cu 0.0000 0.5000 0.5000